Here is a geometry-optimized TlCrNiF6 structure from the Alexandria database. Energies are from PBE+U.

Cell lengths 7.2857, 7.3822, 10.4196 Å; angles 90.00, 90.00, 90.00 degrees
Last column: nearest neighbours and their distance in Å.
Space group Imma (No. 74)
Inequivalent atoms, fractional coordinates:
1 Tl 0.0000 0.2500 0.0898 x4  1 F 2.73
2 Cr 0.0000 0.0000 0.5000 x4  6 F 1.93-1.96
3 Ni 0.2500 0.2500 0.7500 x4  6 F 2.00-2.03
4 F 0.0000 0.2500 0.4359 x4  2 Cr 1.96
5 F 0.0000 0.2500 0.8282 x4  2 Ni 2.00
6 F 0.1932 0.0506 0.6222 x16  1 Cr 1.93, 1 Ni 2.03

Calculated values
Total energy = -5.009 eV/atom